1.
A plane-wave DFT calculation with PBE was carried out for crystalline TlInSn4 at its relaxed geometry.

Values from the calculation:
The polymorph energy (0 for the lowest one) comes out at 8 meV per atom. The raw total energy comes out at -20.90 eV/cell. As for the calculated volume: 28.19 Å³/atom. Its formation energy from the elements is 0.22 eV per formula unit.

The structure in CIF format:
```
data_TlInSn4
_chemical_formula_sum 'Tl1 In1 Sn4'
_cell_length_a 5.5491
_cell_length_b 5.5491
_cell_length_c 6.3425
_cell_angle_alpha 90.00
_cell_angle_beta 90.00
_cell_angle_gamma 120.00
_space_group_name_H-M_alt 'P 6/m m m'
_space_group_IT_number 191
_space_group_name_Hall '-P 6 2'
loop_
_atom_site_label
_atom_site_fract_x
_atom_site_fract_y
_atom_site_fract_z
Tl1 0.0000 0.0000 0.0000
In1 0.0000 0.0000 0.5000
Sn1 0.3333 0.6667 0.2516
```


2.
A plane-wave DFT calculation with PBE was carried out for crystalline Ba2Hg3Pb6 at its relaxed geometry.

Values from the calculation:
The raw total energy comes out at -29.68 eV/cell. As for the calculated volume: 34.73 Å³/atom. Its formation energy from the elements is -2.68 eV per formula unit.

The structure in CIF format:
```
data_Ba2Hg3Pb6
_chemical_formula_sum 'Ba2 Hg3 Pb6'
_cell_length_a 9.0249
_cell_length_b 9.0249
_cell_length_c 5.4164
_cell_angle_alpha 90.00
_cell_angle_beta 90.00
_cell_angle_gamma 120.00
_space_group_name_H-M_alt 'P -6 2 m'
_space_group_IT_number 189
_space_group_name_Hall 'P -6 -2'
loop_
_atom_site_label
_atom_site_fract_x
_atom_site_fract_y
_atom_site_fract_z
Ba1 0.3333 0.6667 0.0000
Hg1 0.0000 0.4064 0.5000
Pb1 0.0000 0.2073 0.0000
Pb2 0.0000 0.7353 0.5000
```


3.
A plane-wave DFT calculation with PBE was carried out for crystalline Li2VRh at its relaxed geometry.

Values from the calculation:
The polymorph energy (0 for the lowest one) comes out at 204 meV per atom. The raw total energy comes out at -75.08 eV/cell. As for the calculated volume: 14.52 Å³/atom. Its formation energy from the elements is 1.53 eV per formula unit.

The structure in CIF format:
```
data_Li2VRh
_chemical_formula_sum 'Li8 V4 Rh4'
_cell_length_a 6.918
_cell_length_b 6.918
_cell_length_c 4.854
_cell_angle_alpha 90.00
_cell_angle_beta 90.00
_cell_angle_gamma 90.00
_space_group_name_H-M_alt 'I -4 2 d'
_space_group_IT_number 122
_space_group_name_Hall 'I -4 2bw'
loop_
_atom_site_label
_atom_site_fract_x
_atom_site_fract_y
_atom_site_fract_z
Li1 0.236 0.250 0.125
V1 0.000 0.000 0.500
Rh1 0.000 0.000 0.000
```


4.
A plane-wave DFT calculation with PBE was carried out for crystalline NdIn7Pd2 at its relaxed geometry.

Values from the calculation:
The raw total energy comes out at -71.40 eV/cell. As for the calculated volume: 28.31 Å³/atom. Its formation energy from the elements is -1.38 eV per formula unit.

The structure in CIF format:
```
data_NdIn7Pd2
_chemical_formula_sum 'Nd2 In14 Pd4'
_cell_length_a 9.238
_cell_length_b 11.982
_cell_length_c 5.115
_cell_angle_alpha 90.00
_cell_angle_beta 90.00
_cell_angle_gamma 90.00
_space_group_name_H-M_alt 'C m m m'
_space_group_IT_number 65
_space_group_name_Hall '-C 2 2'
loop_
_atom_site_label
_atom_site_fract_x
_atom_site_fract_y
_atom_site_fract_z
Nd1 0.000 0.000 0.000
In1 0.000 0.287 0.000
In2 0.000 0.500 0.500
In3 0.212 0.122 0.500
Pd1 0.000 0.279 0.500
```


5.
A plane-wave DFT calculation with PBE was carried out for crystalline CrNiBr2 at its relaxed geometry.

Values from the calculation:
The polymorph energy (0 for the lowest one) comes out at 374 meV per atom. The raw total energy comes out at -35.28 eV/cell. As for the calculated volume: 23.09 Å³/atom. The raw formation energy comes out at 0.278 eV per atom.

The structure in CIF format:
```
data_CrNiBr2
_chemical_formula_sum 'Cr2 Ni2 Br4'
_cell_length_a 3.669
_cell_length_b 7.075
_cell_length_c 7.118
_cell_angle_alpha 90.00
_cell_angle_beta 90.00
_cell_angle_gamma 90.00
_space_group_name_H-M_alt 'C m m m'
_space_group_IT_number 65
_space_group_name_Hall '-C 2 2'
loop_
_atom_site_label
_atom_site_fract_x
_atom_site_fract_y
_atom_site_fract_z
Cr1 0.000 0.000 0.000
Ni1 0.000 0.000 0.500
Br1 0.000 0.500 0.265
```


6.
A plane-wave DFT calculation with PBE was carried out for crystalline NbReH2Ir at its relaxed geometry.

Values from the calculation:
The polymorph energy (0 for the lowest one) comes out at 0 meV per atom. The raw total energy comes out at -34.94 eV/cell. As for the calculated volume: 13.09 Å³/atom.

The structure in CIF format:
```
data_NbReH2Ir
_chemical_formula_sum 'Nb1 Re1 H2 Ir1'
_cell_length_a 3.617
_cell_length_b 3.617
_cell_length_c 5.001
_cell_angle_alpha 90.00
_cell_angle_beta 90.00
_cell_angle_gamma 90.00
_space_group_name_H-M_alt 'P 4/m m m'
_space_group_IT_number 123
_space_group_name_Hall '-P 4 2'
loop_
_atom_site_label
_atom_site_fract_x
_atom_site_fract_y
_atom_site_fract_z
Nb1 0.000 0.000 0.000
Re1 0.500 0.500 0.500
H1 0.000 0.500 0.500
Ir1 0.500 0.500 0.000
```


7.
A plane-wave DFT calculation with PBE was carried out for crystalline BTe2SN at its relaxed geometry.

Values from the calculation:
The polymorph energy (0 for the lowest one) comes out at 0 meV per atom. The raw total energy comes out at -23.54 eV/cell. As for the calculated volume: 32.19 Å³/atom. The raw formation energy comes out at 0.375 eV per atom.

The structure in CIF format:
```
data_BTe2SN
_chemical_formula_sum 'B1 Te2 S1 N1'
_cell_length_a 7.833
_cell_length_b 7.833
_cell_length_c 2.623
_cell_angle_alpha 90.00
_cell_angle_beta 90.00
_cell_angle_gamma 90.00
_space_group_name_H-M_alt 'P 4/m m m'
_space_group_IT_number 123
_space_group_name_Hall '-P 4 2'
loop_
_atom_site_label
_atom_site_fract_x
_atom_site_fract_y
_atom_site_fract_z
B1 0.000 0.000 0.000
Te1 0.000 0.500 0.000
S1 0.500 0.500 0.500
N1 0.000 0.000 0.500
```


8.
A plane-wave DFT calculation with PBE was carried out for crystalline SbTeI2N at its relaxed geometry.

Values from the calculation:
The polymorph energy (0 for the lowest one) comes out at 885 meV per atom. The raw total energy comes out at -10.41 eV/cell. As for the calculated volume: 42.22 Å³/atom. The raw formation energy comes out at 1.657 eV per atom.

The structure in CIF format:
```
data_SbTeI2N
_chemical_formula_sum 'Sb1 Te1 I2 N1'
_cell_length_a 5.851
_cell_length_b 5.851
_cell_length_c 6.167
_cell_angle_alpha 90.00
_cell_angle_beta 90.00
_cell_angle_gamma 90.00
_space_group_name_H-M_alt 'P 4/m m m'
_space_group_IT_number 123
_space_group_name_Hall '-P 4 2'
loop_
_atom_site_label
_atom_site_fract_x
_atom_site_fract_y
_atom_site_fract_z
Sb1 0.000 0.000 0.000
Te1 0.000 0.000 0.500
I1 0.000 0.500 0.500
N1 0.500 0.500 0.000
```


9.
A plane-wave DFT calculation with PBE was carried out for crystalline RbZnBP2O8 at its relaxed geometry.

Values from the calculation:
The polymorph energy (0 for the lowest one) comes out at 415 meV per atom. The raw total energy comes out at -165.80 eV/cell. As for the calculated volume: 14.82 Å³/atom. The raw formation energy comes out at -1.807 eV per atom.

The structure in CIF format:
```
data_RbZnBP2O8
_chemical_formula_sum 'Rb2 Zn2 B2 P4 O16'
_cell_length_a 6.474
_cell_length_b 7.615
_cell_length_c 9.104
_cell_angle_alpha 107.14
_cell_angle_beta 109.12
_cell_angle_gamma 100.55
_space_group_name_H-M_alt 'P -1'
_space_group_IT_number 2
loop_
_space_group_symop_operation_xyz
'x,y,z'
'-x,-y,-z'
loop_
_atom_site_label
_atom_site_fract_x
_atom_site_fract_y
_atom_site_fract_z
Rb1 0.157 0.462 0.311
Zn1 0.346 0.219 0.684
B1 0.444 0.777 0.793
P1 0.249 0.091 0.863
P2 0.261 0.976 0.292
O1 0.016 0.963 0.153
O2 0.233 0.008 0.455
O3 0.276 0.588 0.692
O4 0.296 0.892 0.839
O5 0.314 0.791 0.220
O6 0.381 0.227 0.053
O7 0.383 0.444 0.629
O8 0.434 0.158 0.304
```


10.
A plane-wave DFT calculation with PBE was carried out for crystalline Ba2Hg2Pb at its relaxed geometry.

Values from the calculation:
The polymorph energy (0 for the lowest one) comes out at 151 meV per atom. The raw total energy comes out at -19.78 eV/cell. As for the calculated volume: 40.42 Å³/atom. Its formation energy from the elements is -1.73 eV per formula unit.

The structure in CIF format:
```
data_Ba2Hg2Pb
_chemical_formula_sum 'Ba4 Hg4 Pb2'
_cell_length_a 6.629
_cell_length_b 6.629
_cell_length_c 9.199
_cell_angle_alpha 90.00
_cell_angle_beta 90.00
_cell_angle_gamma 90.00
_space_group_name_H-M_alt 'I 4/m m m'
_space_group_IT_number 139
_space_group_name_Hall '-I 4 2'
loop_
_atom_site_label
_atom_site_fract_x
_atom_site_fract_y
_atom_site_fract_z
Ba1 0.000 0.500 0.250
Hg1 0.000 0.000 0.152
Pb1 0.000 0.000 0.500
```


11.
A plane-wave DFT calculation with PBE was carried out for crystalline Rb2BiTeCl6 at its relaxed geometry.

Values from the calculation:
The raw total energy comes out at -61.50 eV/cell. As for the calculated volume: 38.75 Å³/atom. The raw formation energy comes out at -1.071 eV per atom.

The structure in CIF format:
```
data_Rb2BiTeCl6
_chemical_formula_sum 'Rb4 Bi2 Te2 Cl12'
_cell_length_a 8.512
_cell_length_b 8.512
_cell_length_c 10.697
_cell_angle_alpha 90.00
_cell_angle_beta 90.00
_cell_angle_gamma 90.00
_space_group_name_H-M_alt 'I 4/m m m'
_space_group_IT_number 139
_space_group_name_Hall '-I 4 2'
loop_
_atom_site_label
_atom_site_fract_x
_atom_site_fract_y
_atom_site_fract_z
Rb1 0.000 0.500 0.250
Bi1 0.000 0.000 0.000
Te1 0.000 0.000 0.500
Cl1 0.000 0.000 0.257
Cl2 0.225 0.225 0.000
```


12.
A plane-wave DFT calculation with PBE was carried out for crystalline YTa2Ag at its relaxed geometry.

Values from the calculation:
The polymorph energy (0 for the lowest one) comes out at 185 meV per atom. The raw total energy comes out at -31.55 eV/cell. As for the calculated volume: 20.87 Å³/atom. Its formation energy from the elements is 1.47 eV per formula unit.

The structure in CIF format:
```
data_YTa2Ag
_chemical_formula_sum 'Y1 Ta2 Ag1'
_cell_length_a 3.015
_cell_length_b 5.342
_cell_length_c 5.221
_cell_angle_alpha 90.00
_cell_angle_beta 96.74
_cell_angle_gamma 90.00
_space_group_name_H-M_alt 'P 1 2/m 1'
_space_group_IT_number 10
loop_
_space_group_symop_operation_xyz
'x,y,z'
'-x,-y,-z'
'-x,y,-z'
'x,-y,z'
loop_
_atom_site_label
_atom_site_fract_x
_atom_site_fract_y
_atom_site_fract_z
Y1 0.000 0.000 0.000
Ta1 0.351 0.500 0.742
Ag1 0.500 0.000 0.500
```


Number 1: total moment 0.00 Bohr magnetons per cell. Number 2: total moment 0.00 Bohr magnetons per cell. Number 3: total moment 10.17 Bohr magnetons per cell. Number 4: total moment 0.00 Bohr magnetons per cell. Number 5: total moment 9.80 Bohr magnetons per cell. Number 6: total moment 0.00 Bohr magnetons per cell. Number 7: total moment 0.00 Bohr magnetons per cell. Number 8: total moment 1.97 Bohr magnetons per cell. Number 9: total moment 0.00 Bohr magnetons per cell. Number 10: total moment 0.00 Bohr magnetons per cell. Number 11: total moment 2.01 Bohr magnetons per cell. Number 12: total moment 0.00 Bohr magnetons per cell.